(1)
! LiCdIn2Ag5, relaxed, DFT PBE; values from VASP
! density of states at the Fermi level = 2.6 states/eV/f.u.
! crystal system = orthorhombic
! energy of formation = -38 meV/atom
! electronic total energy = -2.545 eV/atom
&SYSTEM
  ibrav = 0, nat = 18, ntyp = 4
/
ATOMIC_SPECIES
Li 6.94 Li.upf
Cd 112.41 Cd.upf
In 114.82 In.upf
Ag 107.87 Ag.upf
ATOMIC_POSITIONS crystal
Li 0.2280 0.7720 0.5000
Li 0.7720 0.2280 0.0000
Cd 0.1799 0.8201 0.0324
Cd 0.8201 0.1799 0.5324
In 0.3648 0.6352 0.2131
In 0.4291 0.5709 0.9209
In 0.5709 0.4291 0.4209
In 0.6352 0.3648 0.7131
Ag 0.0384 0.9616 0.5773
Ag 0.0494 0.9506 0.8378
Ag 0.1428 0.8572 0.2828
Ag 0.2452 0.7548 0.7729
Ag 0.4238 0.5762 0.6349
Ag 0.5762 0.4238 0.1349
Ag 0.7548 0.2452 0.2729
Ag 0.8572 0.1428 0.7828
Ag 0.9506 0.0494 0.3378
Ag 0.9616 0.0384 0.0773
CELL_PARAMETERS angstrom
2.3755 -6.9455 0.0000
2.3755 6.9455 0.0000
0.0000 0.0000 10.8413

***

(2)
! LiCd2InAg, relaxed, DFT PBE; values from VASP
! density of states at the Fermi level = 1.7 states/eV/f.u.
! crystal system = orthorhombic
! energy of formation = 2 meV/atom
! electronic total energy = -1.865 eV/atom
&SYSTEM
  ibrav = 0, nat = 10, ntyp = 4
/
ATOMIC_SPECIES
Li 6.94 Li.upf
Cd 112.41 Cd.upf
In 114.82 In.upf
Ag 107.87 Ag.upf
ATOMIC_POSITIONS crystal
Li 0.2033 0.7967 0.7500
Li 0.7967 0.2033 0.2500
Cd 0.3365 0.6635 0.0202
Cd 0.3365 0.6635 0.4798
Cd 0.6635 0.3365 0.5202
Cd 0.6635 0.3365 0.9798
In 0.1003 0.8997 0.2500
In 0.8997 0.1003 0.7500
Ag 0.0000 0.0000 0.0000
Ag 0.0000 0.0000 0.5000
CELL_PARAMETERS angstrom
1.5397 -7.3620 0.0000
1.5397 7.3620 0.0000
0.0000 0.0000 10.1866

***

(3)
! Li5CdIn2Ag2, relaxed, DFT PBE; values from VASP
! density of states at the Fermi level = 3.6 states/eV/f.u.
! crystal system = tetragonal
! energy of formation = -182 meV/atom
! electronic total energy = -2.348 eV/atom
&SYSTEM
  ibrav = 0, nat = 20, ntyp = 4
/
ATOMIC_SPECIES
Li 6.94 Li.upf
Cd 112.41 Cd.upf
In 114.82 In.upf
Ag 107.87 Ag.upf
ATOMIC_POSITIONS crystal
Li 0.0000 0.5000 0.0000
Li 0.0791 0.1944 0.0000
Li 0.1944 0.9209 0.0000
Li 0.3056 0.4209 0.0000
Li 0.4209 0.6944 0.0000
Li 0.5000 0.0000 0.0000
Li 0.5791 0.3056 0.0000
Li 0.6944 0.5791 0.0000
Li 0.8056 0.0791 0.0000
Li 0.9209 0.8056 0.0000
Cd 0.0000 0.0000 0.5000
Cd 0.5000 0.5000 0.5000
In 0.1699 0.6699 0.5000
In 0.3301 0.1699 0.5000
In 0.6699 0.8301 0.5000
In 0.8301 0.3301 0.5000
Ag 0.1254 0.3746 0.5000
Ag 0.3746 0.8746 0.5000
Ag 0.6254 0.1254 0.5000
Ag 0.8746 0.6254 0.5000
CELL_PARAMETERS angstrom
9.8375 0.0000 0.0000
0.0000 9.8375 0.0000
0.0000 0.0000 3.9141